6
Lattice="5.896 -2.075 0.000 5.896 2.075 0.000 -5.130 0.000 6.680" Properties=species:S:1:pos:R:3 comment="NdSmRu PBE relaxed" de_polymorph_ev_per_atom=0.012 mass_density_g_cm3=8.0 spacegroup="C2/m, No. 12" formation_energy_mev_per_atom=-169 pbc="T T T"
Nd 1.720 0.000 0.625
Nd 4.941 0.000 6.054
Sm 1.651 0.000 4.198
Sm 5.010 0.000 2.482
Ru -1.648 0.000 4.296
Ru 8.309 0.000 2.384

18
Lattice="2.777 -9.778 0.000 2.777 9.778 0.000 0.000 0.000 10.540" Properties=species:S:1:pos:R:3 comment="TbY2HoTm5 PBE relaxed" mass_density_g_cm3=7.8 spacegroup="Cmc2_1, No. 36" formation_energy_mev_per_atom=156 pbc="T T T"
Tb 2.777 5.830 5.270
Tb 2.777 -5.830 0.000
Y 2.777 7.649 2.382
Y 2.777 7.569 8.533
Y 2.777 -7.569 3.263
Y 2.777 -7.649 7.652
Ho 2.777 1.669 9.981
Ho 2.777 -1.669 4.711
Tm 2.777 9.393 5.443
Tm 2.777 4.240 8.381
Tm 2.777 3.913 2.082
Tm 2.777 2.092 5.393
Tm 2.777 0.408 2.387
Tm 2.777 -0.408 7.656
Tm 2.777 -2.092 0.123
Tm 2.777 -3.913 7.352
Tm 2.777 -4.240 3.111
Tm 2.777 -9.393 0.173